PBE TbZn4Pt2, optimized geometry; ΔE_f = -0.6584 eV per atom; mass density = 11.2 g/cm³; space group = P4_2/mnm (136)
1.0
-4.033 -3.631 -5.176
-1.949 -5.126 5.115
-3.437 2.340 1.036
Pt Zn Tb
4 8 2
direct
0.786 0.786 0.500 Pt
0.214 0.214 0.500 Pt
0.714 0.286 0.000 Pt
0.286 0.714 0.000 Pt
0.400 0.147 0.000 Zn
0.353 0.900 0.500 Zn
0.600 0.853 0.000 Zn
0.100 0.647 0.500 Zn
0.647 0.100 0.500 Zn
0.900 0.353 0.500 Zn
0.147 0.400 0.000 Zn
0.853 0.600 0.000 Zn
0.500 0.500 0.500 Tb
0.000 0.000 0.000 Tb

PBE TcPt, optimized geometry; ΔE_f = -0.0623 eV per atom; mass density = 16.4 g/cm³; space group = P-6m2 (187)
1.0
-1.694 1.971 0.942
0.788 -2.058 1.669
3.541 2.418 1.310
Pt Tc
1 1
direct
0.667 0.333 0.750 Pt
0.333 0.667 0.250 Tc

PBE TcPt2, optimized geometry; ΔE_f = 2.2486 eV per atom; mass density = 5.1 g/cm³; space group = Fd-3m (227)
1.0
-6.667 2.662 -2.667
-4.535 4.192 4.528
-0.873 7.490 -1.334
Pt Tc
4 2
direct
0.375 0.375 0.875 Pt
0.375 0.375 0.375 Pt
0.875 0.375 0.375 Pt
0.375 0.875 0.375 Pt
0.500 0.500 0.500 Tc
0.250 0.250 0.250 Tc

Number 1 is which compound? TbZn4Pt2